1.
Here is a relaxed structure of I7Br5 from the Alexandria database. Energies are from PBE-GGA.

As for the energy relative to the elements, uncorrected: 0.061 eV/atom. Its space group is P-1.

a b c (Å): 8.6928 8.8106 11.6565
angles (deg): 96.97 68.18 60.37
Positions (direct):
I 0.5604 0.1365 0.7427
I 0.4395 0.8635 0.2573
I 0.0539 0.6440 0.2483
I 0.9461 0.3560 0.7517
I 0.3413 0.2874 0.0299
I 0.5000 0.5000 0.5000
I 0.6587 0.7126 0.9701
Br 0.8335 0.8112 0.5217
Br 0.1666 0.1887 0.4783
Br 0.7796 0.1744 0.2663
Br 0.2204 0.8256 0.7337
Br 0.0000 0.0000 0.0000

---

2.
Here is a relaxed structure of MoP2Br from the Alexandria database. Energies are from PBE-GGA.

As for the energy relative to the elements, uncorrected: -0.058 eV/atom. For the energy above the most stable polymorph in this dataset, the calculation gives 56.5 meV per atom. Its space group is Pm.

a b c (Å): 3.1416 4.2257 7.7579
angles (deg): 101.36 90.00 90.00
Positions (direct):
Br 0.0000 0.6202 0.5790
Mo 0.5000 0.6751 0.8398
P 0.0000 0.9730 0.1008
P 0.5000 0.2318 0.9804

---

3.
Here is a relaxed structure of LaY4Rh5 from the Alexandria database. Energies are from PBE-GGA.

The calculation puts the formation energy at -7.9 eV per formula unit. Its space group is P4/mmm.

a b c (Å): 3.4274 3.4274 17.7569
angles (deg): 90.00 90.00 90.00
Positions (direct):
La 0.0000 0.0000 0.0000
Y 0.0000 0.0000 0.2054
Y 0.0000 0.0000 0.4019
Y 0.0000 0.0000 0.5981
Y 0.0000 0.0000 0.7946
Rh 0.5000 0.5000 0.1088
Rh 0.5000 0.5000 0.3040
Rh 0.5000 0.5000 0.5000
Rh 0.5000 0.5000 0.6960
Rh 0.5000 0.5000 0.8912

---

4.
Here is a relaxed structure of Zn2Pd5Au3 from the Alexandria database. Energies are from PBE-GGA.

The calculation puts the formation energy at 0.2 eV per formula unit. Its space group is Ibam.

a b c (Å): 5.4083 8.6263 8.6263
angles (deg): 91.85 71.73 71.73
Positions (direct):
Zn 0.1330 0.7211 0.0129
Zn 0.8670 0.2789 0.9871
Zn 0.6330 0.0129 0.7211
Zn 0.3670 0.9871 0.2789
Pd 0.2500 0.5000 0.5000
Pd 0.7500 0.5000 0.5000
Pd 0.5007 0.7493 0.7493
Pd 0.9993 0.2507 0.2507
Pd 0.4993 0.2507 0.2507
Pd 0.0007 0.7493 0.7493
Pd 0.1320 0.5284 0.2077
Pd 0.8680 0.4716 0.7923
Pd 0.6320 0.2077 0.5284
Pd 0.3680 0.7923 0.4716
Au 0.2500 0.0000 0.0000
Au 0.7500 0.0000 0.0000
Au 0.3744 0.4232 0.8280
Au 0.6256 0.5768 0.1720
Au 0.8744 0.8280 0.4232
Au 0.1256 0.1720 0.5768